Material: Ac3MgMo2N6
Method: DFT, PBE-GGA
State: relaxed

Output
As for the mass density: 7.7 g cm⁻³. The value obtained for the calculated total energy is -0.293 Ha/atom. The calculation puts the energy relative to the elements, uncorrected at -832 meV/atom. The space-group type is P-3m1 (164). The volume is 212.3 Å³ per cell.

a b c (Å): 5.935 5.935 6.958
angles (deg): 90.00 90.00 120.00
Positions (direct):
1 N 0.668 0.834 0.303
2 Ac 0.000 0.000 0.000
3 N 0.834 0.166 0.697
4 N 0.166 0.332 0.303
5 Mo 0.333 0.667 0.206
6 Mg 0.000 0.000 0.500
7 Mo 0.667 0.333 0.794
8 N 0.332 0.166 0.697
9 Ac 0.667 0.333 0.330
10 N 0.834 0.668 0.697
11 N 0.166 0.834 0.303
12 Ac 0.333 0.667 0.670

***

Material: Ac2MgMoN4
Method: DFT, PBE-GGA
State: relaxed

Output
As for the mass density: 7.6 g cm⁻³. The value obtained for the calculated total energy is -0.265 Ha/atom. The calculation puts the energy relative to the elements, uncorrected at -473 meV/atom. The space-group type is Fddd (70). The volume is 276.6 Å³ per cell.

a b c (Å): 5.016 6.301 9.866
angles (deg): 84.19 75.27 66.54
Positions (direct):
1 Ac 0.823 0.000 0.355
2 N 0.422 0.722 0.410
3 Mg 0.000 0.000 0.000
4 N 0.328 0.778 0.090
5 Ac 0.573 0.500 0.855
6 N 0.196 0.222 0.910
7 N 0.168 0.278 0.410
8 Mo 0.250 0.500 0.500
9 Mo 0.500 0.000 0.000
10 N 0.554 0.278 0.590
11 Ac 0.927 0.500 0.145
12 N 0.894 0.778 0.910
13 N 0.582 0.222 0.090
14 Mg 0.750 0.500 0.500
15 N 0.856 0.722 0.590
16 Ac 0.177 0.000 0.645